Material: SeS2I
Method: DFT, GGA-PBE
State: optimized geometry

Lattice parameters (Å, degrees): 6.9221 6.9221 6.9221 90.00 90.00 90.00
Last column: nearest neighbours and their distance in Å.
Space group Fm-3m (No. 225)
Symmetry-distinct sites (fractional):
Se 0.0000 0.0000 0.0000 [4 per cell]  8 S 3.00
S 0.2500 0.2500 0.2500 [8 per cell]  4 Se 3.00, 4 I 3.00
I 0.0000 0.0000 0.5000 [4 per cell]  8 S 3.00

- spin magnetization (Bohr magnetons per cell) = 0.000
- energy relative to the elements, uncorrected (eV/atom) = 0.953
- energy above the most stable polymorph in this dataset (meV per atom) = 578.9
- raw total energy (eV/atom) = -2.37